A plane-wave DFT calculation with PBEsol was carried out for a relaxed structure of SrAg2HgB.

Geometry as POSCAR:
```
SrAg2HgB
1.0
5.229 0.000 0.000
0.000 5.229 0.000
0.000 0.000 4.236
Sr Ag Hg B
1 2 1 1
direct
0.000 0.000 0.000
0.000 0.500 0.500
0.500 0.000 0.500
0.500 0.500 0.500
0.500 0.500 0.000
```

Values from the calculation:
- N(E_F): 1.9 states/eV/cell
- Formation enthalpy at 0 K: 543 meV per atom
- V: 115.8 Å³/f.u.

***

A plane-wave DFT calculation with PBEsol was carried out for a relaxed structure of CuNiOs.

Geometry as POSCAR:
```
CuNiOs
1.0
0.000 2.730 2.730
2.730 0.000 2.730
2.730 2.730 0.000
Cu Ni Os
1 1 1
direct
0.000 0.000 0.000
0.750 0.750 0.750
0.500 0.500 0.500
```

Values from the calculation:
- N(E_F): 5.4 states/eV/cell
- Formation enthalpy at 0 K: 781 meV per atom
- Energy above the most stable polymorph in this dataset: 466 meV/atom
- V: 40.7 Å³/f.u.

***

A plane-wave DFT calculation with PBEsol was carried out for a relaxed structure of LiZr2Au.

Geometry as POSCAR:
```
LiZr2Au
1.0
4.197 0.000 0.000
0.000 4.197 0.000
0.000 0.000 4.162
Li Zr Au
1 2 1
direct
0.000 0.000 0.000
0.000 0.500 0.500
0.500 0.000 0.500
0.500 0.500 0.000
```

Values from the calculation:
- N(E_F): 3.9 states/eV/cell
- Formation enthalpy at 0 K: -212 meV per atom
- V: 73.3 Å³/f.u.

***

A plane-wave DFT calculation with PBEsol was carried out for a relaxed structure of Al2SbBr.

Geometry as POSCAR:
```
Al2SbBr
1.0
5.578 0.000 0.000
0.000 5.578 0.000
0.000 0.000 3.100
Al Sb Br
2 1 1
direct
0.000 0.500 0.000
0.500 0.000 0.000
0.000 0.000 0.000
0.500 0.500 0.000
```

Values from the calculation:
- N(E_F): 1.5 states/eV/cell
- Energy relative to the elements, uncorrected: 0.026 eV/atom
- Energy above the most stable polymorph in this dataset: 53 meV/atom
- V: 96.5 Å³/f.u.

***

- The highest V belongs to which entry?
  SrAg2HgB

***

- What is the formula in the third record?
  LiZr2Au

***

- Which of these has the lowest V?
  CuNiOs

***

Please write out number 2 again, unchanged.
A plane-wave DFT calculation with PBEsol was carried out for a relaxed structure of CuNiOs.

Geometry as POSCAR:
```
CuNiOs
1.0
0.000 2.730 2.730
2.730 0.000 2.730
2.730 2.730 0.000
Cu Ni Os
1 1 1
direct
0.000 0.000 0.000
0.750 0.750 0.750
0.500 0.500 0.500
```

Values from the calculation:
- N(E_F): 5.4 states/eV/cell
- Formation enthalpy at 0 K: 781 meV per atom
- Energy above the most stable polymorph in this dataset: 466 meV/atom
- V: 40.7 Å³/f.u.